(A)
Material: Tb4CeHo2
Method: DFT, PBE
State: optimized geometry

Cell and atoms, written as POSCAR:
```
Tb4CeHo2
1.0
6.189 0.000 0.000
0.000 3.568 0.000
-2.113 0.000 20.028
Tb Ce Ho
8 2 4
Direct
0.000 0.000 0.000 Tb
0.024 0.500 0.568 Tb
0.093 0.000 0.284 Tb
0.119 0.500 0.856 Tb
0.500 0.500 0.000 Tb
0.524 0.000 0.568 Tb
0.593 0.500 0.284 Tb
0.619 0.000 0.856 Tb
0.400 0.500 0.712 Ce
0.900 0.000 0.712 Ce
0.217 0.500 0.142 Ho
0.306 0.500 0.426 Ho
0.717 0.000 0.142 Ho
0.806 0.000 0.426 Ho
```

Computed properties:
Symmetry: Cm
Volume in Å³ per atom: 31.6

(B)
Material: Tb4CeHo2
Method: DFT, PBE
State: optimized geometry

Cell and atoms, written as POSCAR:
```
Tb4CeHo2
1.0
6.134 0.000 0.000
0.000 12.827 0.000
0.000 0.000 5.916
Tb Ce Ho
8 2 4
Direct
0.000 0.137 0.000 Tb
0.000 0.300 0.500 Tb
0.000 0.700 0.500 Tb
0.000 0.863 0.000 Tb
0.500 0.200 0.500 Tb
0.500 0.363 0.000 Tb
0.500 0.637 0.000 Tb
0.500 0.800 0.500 Tb
0.000 0.000 0.500 Ce
0.500 0.500 0.500 Ce
0.000 0.388 0.000 Ho
0.000 0.612 0.000 Ho
0.500 0.112 0.000 Ho
0.500 0.888 0.000 Ho
```

Computed properties:
Symmetry: Cmmm
Volume in Å³ per atom: 33.2

Verdict on stability: (A) comes out on top.

(A)
Material: Tb2CeHo6
Method: DFT, PBE
State: optimized geometry

Cell and atoms, written as POSCAR:
```
Tb2CeHo6
1.0
3.627 2.094 6.278
-3.627 2.094 6.278
0.000 -4.188 6.278
Tb Ce Ho
2 1 6
Direct
0.000 0.000 0.000 Tb
0.177 0.177 0.177 Tb
0.739 0.739 0.739 Ce
0.029 0.475 0.475 Ho
0.199 0.681 0.681 Ho
0.475 0.029 0.475 Ho
0.475 0.475 0.029 Ho
0.681 0.199 0.681 Ho
0.681 0.681 0.199 Ho
```

Computed properties:
Symmetry: R3m
Volume in Å³ per atom: 31.8

(B)
Material: Tb2CeHo6
Method: DFT, PBE
State: optimized geometry

Cell and atoms, written as POSCAR:
```
Tb2CeHo6
1.0
4.240 -4.430 0.000
4.240 4.430 0.000
-0.842 0.000 15.309
Tb Ce Ho
4 2 12
Direct
0.108 0.620 0.814 Tb
0.380 0.892 0.686 Tb
0.620 0.108 0.314 Tb
0.892 0.380 0.186 Tb
0.224 0.776 0.250 Ce
0.776 0.224 0.750 Ce
0.159 0.305 0.382 Ho
0.171 0.738 0.023 Ho
0.262 0.829 0.477 Ho
0.263 0.369 0.615 Ho
0.305 0.159 0.882 Ho
0.369 0.263 0.115 Ho
0.631 0.737 0.885 Ho
0.695 0.841 0.118 Ho
0.737 0.631 0.385 Ho
0.738 0.171 0.523 Ho
0.829 0.262 0.977 Ho
0.841 0.695 0.618 Ho
```

Computed properties:
Symmetry: C2/c
Volume in Å³ per atom: 31.9

Verdict on stability: (B) comes out on top.

(A)
Material: TbCeHo2
Method: DFT, PBE
State: optimized geometry

Cell and atoms, written as POSCAR:
```
TbCeHo2
1.0
3.393 0.000 0.000
-0.008 6.392 0.000
-1.682 -0.817 11.428
Tb Ce Ho
2 2 4
Direct
0.250 0.243 0.000 Tb
0.750 0.757 0.000 Tb
0.497 0.289 0.497 Ce
0.503 0.711 0.503 Ce
0.123 0.536 0.746 Ho
0.374 0.963 0.249 Ho
0.626 0.037 0.751 Ho
0.877 0.464 0.254 Ho
```

Computed properties:
Symmetry: P-1
Volume in Å³ per atom: 31.0

(B)
Material: TbCeHo2
Method: DFT, PBE
State: optimized geometry

Cell and atoms, written as POSCAR:
```
TbCeHo2
1.0
4.992 0.000 0.000
0.000 4.992 0.000
0.000 0.000 4.970
Tb Ce Ho
1 1 2
Direct
0.000 0.000 0.000 Tb
0.500 0.500 0.000 Ce
0.000 0.500 0.500 Ho
0.500 0.000 0.500 Ho
```

Computed properties:
Symmetry: P4/mmm
Volume in Å³ per atom: 31.0

(C)
Material: TbCeHo2
Method: DFT, PBE
State: optimized geometry

Cell and atoms, written as POSCAR:
```
TbCeHo2
1.0
7.977 0.000 0.000
0.000 7.977 0.000
0.000 0.000 7.977
Tb Ce Ho
4 4 8
Direct
0.000 0.000 0.000 Tb
0.000 0.500 0.500 Tb
0.500 0.000 0.500 Tb
0.500 0.500 0.000 Tb
0.000 0.000 0.500 Ce
0.000 0.500 0.000 Ce
0.500 0.000 0.000 Ce
0.500 0.500 0.500 Ce
0.250 0.250 0.250 Ho
0.250 0.250 0.750 Ho
0.250 0.750 0.250 Ho
0.250 0.750 0.750 Ho
0.750 0.250 0.250 Ho
0.750 0.250 0.750 Ho
0.750 0.750 0.250 Ho
0.750 0.750 0.750 Ho
```

Computed properties:
Symmetry: Fm-3m
Volume in Å³ per atom: 31.7

(D)
Material: TbCeHo2
Method: DFT, PBE
State: optimized geometry

Cell and atoms, written as POSCAR:
```
TbCeHo2
1.0
3.519 0.000 0.000
0.000 3.519 0.000
0.000 0.000 9.975
Tb Ce Ho
1 1 2
Direct
0.000 0.000 0.000 Tb
0.000 0.000 0.500 Ce
0.500 0.500 0.255 Ho
0.500 0.500 0.745 Ho
```

Computed properties:
Symmetry: P4/mmm
Volume in Å³ per atom: 30.9

Verdict on stability: (D) comes out on top.